{"formula": "LaSm5Tm12", "functional": "PBE", "state": "relaxed", "formation_energy_ev_per_atom": 0.0254, "lattice_angstrom": [[9.1897, -5.3055, 0.0000], [9.1897, 5.3055, 0.0000], [-2.0126, 0.0000, 5.7915]], "species": ["La", "Sm", "Sm", "Sm", "Sm", "Sm", "Tm", "Tm", "Tm", "Tm", "Tm", "Tm", "Tm", "Tm", "Tm", "Tm", "Tm", "Tm"], "fractional_positions": [[0.0000, 0.0000, 0.0000], [0.1674, 0.1674, 0.5015], [0.3330, 0.3330, 0.0003], [0.5000, 0.5000, 0.5000], [0.6670, 0.6670, 0.9997], [0.8326, 0.8326, 0.4985], [0.0013, 0.6634, 0.9989], [0.1656, 0.5010, 0.5006], [0.1694, 0.8306, 0.5000], [0.3335, 0.6665, 0.0000], [0.3366, 0.9987, 0.0011], [0.4990, 0.8344, 0.4994], [0.5010, 0.1656, 0.5006], [0.6634, 0.0013, 0.9989], [0.6665, 0.3335, 0.0000], [0.8306, 0.1694, 0.5000], [0.8344, 0.4990, 0.4994], [0.9987, 0.3366, 0.0011]]}

***

{"formula": "ErPuCu2", "functional": "PBE", "state": "relaxed", "formation_energy_ev_per_atom": -0.0811, "e_above_lowest_polymorph_mev_per_atom": 0, "lattice_angstrom": [[3.3999, 0.0000, 0.0000], [0.0000, 3.3999, 0.0000], [0.0000, 0.0000, 7.0842]], "species": ["Er", "Pu", "Cu", "Cu"], "fractional_positions": [[0.0000, 0.0000, 0.0000], [0.0000, 0.0000, 0.5000], [0.5000, 0.5000, 0.2329], [0.5000, 0.5000, 0.7671]]}

***

{"formula": "LaInRh4", "functional": "PBE", "state": "relaxed", "formation_energy_ev_per_atom": -0.3218, "e_above_lowest_polymorph_mev_per_atom": 102, "lattice_angstrom": [[2.0792, -8.8956, 0.0000], [2.0792, 8.8956, 0.0000], [0.0000, 0.0000, 6.0374]], "species": ["La", "La", "In", "In", "Rh", "Rh", "Rh", "Rh", "Rh", "Rh", "Rh", "Rh"], "fractional_positions": [[0.0903, 0.9097, 0.7500], [0.9097, 0.0903, 0.2500], [0.2288, 0.7712, 0.2500], [0.7712, 0.2288, 0.7500], [0.0750, 0.9250, 0.2500], [0.3449, 0.6551, 0.5312], [0.3449, 0.6551, 0.9688], [0.5000, 0.5000, 0.0000], [0.5000, 0.5000, 0.5000], [0.6551, 0.3449, 0.0312], [0.6551, 0.3449, 0.4688], [0.9250, 0.0750, 0.7500]]}

***

{"formula": "CsU2Pt2S6", "functional": "PBE", "state": "relaxed", "raw_formation_energy_mev_per_atom": -887, "lattice_angstrom": [[7.0653, 0.0000, 0.0000], [3.5131, 6.2116, 0.0000], [3.4199, -1.5633, 6.4812]], "species": ["Cs", "U", "U", "Pt", "Pt", "S", "S", "S", "S", "S", "S"], "fractional_positions": [[0.0000, 0.0000, 0.0000], [0.3309, 0.0106, 0.3282], [0.6691, 0.9894, 0.6718], [0.1439, 0.5568, 0.3177], [0.8561, 0.4432, 0.6823], [0.1637, 0.7595, 0.5347], [0.2605, 0.2330, 0.6443], [0.4128, 0.2518, 0.0464], [0.5873, 0.7482, 0.9536], [0.7395, 0.7670, 0.3557], [0.8363, 0.2405, 0.4653]]}

***

{"formula": "CsBeP2O", "functional": "PBE", "state": "relaxed", "raw_formation_energy_mev_per_atom": 1969, "lattice_angstrom": [[5.5187, 0.0000, 0.0000], [0.0000, 5.5187, 0.0000], [0.0000, 0.0000, 4.2392]], "species": ["Cs", "Be", "P", "P", "O"], "fractional_positions": [[0.0000, 0.0000, 0.0000], [0.5000, 0.5000, 0.5000], [0.0000, 0.5000, 0.0000], [0.5000, 0.0000, 0.0000], [0.0000, 0.0000, 0.5000]]}

***

{"formula": "NdMnGe2", "functional": "PBE", "state": "relaxed", "formation_energy_ev_per_atom": -0.5062, "lattice_angstrom": [[7.4857, 0.0000, 0.0000], [0.0000, 4.0835, 0.0000], [0.0000, 0.0000, 10.3378]], "species": ["Nd", "Nd", "Nd", "Nd", "Mn", "Mn", "Mn", "Mn", "Ge", "Ge", "Ge", "Ge", "Ge", "Ge", "Ge", "Ge"], "fractional_positions": [[0.1385, 0.2500, 0.1320], [0.3615, 0.7500, 0.6320], [0.6385, 0.2500, 0.3680], [0.8615, 0.7500, 0.8680], [0.0170, 0.7500, 0.3964], [0.4830, 0.2500, 0.8964], [0.5170, 0.7500, 0.1036], [0.9830, 0.2500, 0.6036], [0.1579, 0.2500, 0.8073], [0.2135, 0.2500, 0.4392], [0.2865, 0.7500, 0.9392], [0.3421, 0.7500, 0.3073], [0.6579, 0.2500, 0.6927], [0.7135, 0.2500, 0.0608], [0.7865, 0.7500, 0.5608], [0.8421, 0.7500, 0.1927]]}

***

{"formula": "Pu6SnAu5", "functional": "PBE", "state": "relaxed", "formation_energy_ev_per_atom": -0.3827, "lattice_angstrom": [[-2.3588, 4.2544, 7.1096], [2.3588, -4.2544, 7.1096], [2.3588, 4.2544, -7.1096]], "species": ["Pu", "Pu", "Pu", "Pu", "Pu", "Pu", "Sn", "Au", "Au", "Au", "Au", "Au"], "fractional_positions": [[0.0717, 0.3282, 0.7435], [0.2377, 0.0000, 0.2377], [0.4153, 0.6718, 0.7435], [0.5847, 0.3282, 0.2565], [0.7623, 0.0000, 0.7623], [0.9283, 0.6718, 0.2565], [0.5000, 0.5000, 0.0000], [0.0000, 0.5000, 0.5000], [0.1691, 0.1691, 0.0000], [0.3437, 0.8437, 0.5000], [0.6563, 0.1563, 0.5000], [0.8309, 0.8309, 0.0000]]}

***

{"formula": "K2NiTe", "functional": "PBE", "state": "relaxed", "raw_formation_energy_mev_per_atom": 208, "lattice_angstrom": [[3.2338, 0.0000, 0.0000], [0.0000, 6.1839, 0.0000], [0.0000, 0.0000, 6.8453]], "species": ["K", "K", "Ni", "Te"], "fractional_positions": [[0.0000, 0.0000, 0.0000], [0.5000, 0.5000, 0.4979], [0.0000, 0.0000, 0.4995], [0.5000, 0.5000, 0.9978]]}

***

{"formula": "Pm4Tl5Au2", "functional": "PBE", "state": "relaxed", "formation_energy_ev_per_atom": -0.4619, "lattice_angstrom": [[8.1864, 0.0000, 0.0000], [0.0000, 3.7823, 0.0000], [-0.5206, 0.0000, 9.9190]], "species": ["Pm", "Pm", "Pm", "Pm", "Tl", "Tl", "Tl", "Tl", "Tl", "Au", "Au"], "fractional_positions": [[0.2040, 0.0000, 0.3562], [0.2241, 0.0000, 0.9191], [0.7759, 0.0000, 0.0809], [0.7960, 0.0000, 0.6438], [0.1445, 0.5000, 0.6321], [0.4590, 0.5000, 0.1653], [0.5000, 0.5000, 0.5000], [0.5410, 0.5000, 0.8347], [0.8555, 0.5000, 0.3679], [0.0796, 0.5000, 0.1320], [0.9204, 0.5000, 0.8680]]}

***

{"formula": "SrOs2Cl", "functional": "PBE", "state": "relaxed", "raw_formation_energy_mev_per_atom": 928, "e_above_lowest_polymorph_mev_per_atom": 998, "lattice_angstrom": [[5.0678, 0.0000, 0.0000], [0.0000, 11.6864, 0.0000], [0.0000, 0.0000, 2.8492]], "species": ["Sr", "Sr", "Os", "Os", "Os", "Os", "Cl", "Cl"], "fractional_positions": [[0.0000, 0.0000, 0.0000], [0.5000, 0.5000, 0.0000], [0.2500, 0.2500, 0.5000], [0.2500, 0.7500, 0.5000], [0.7500, 0.2500, 0.5000], [0.7500, 0.7500, 0.5000], [0.0000, 0.5000, 0.0000], [0.5000, 0.0000, 0.0000]]}

***

{"formula": "Zr2Fe3Ge", "functional": "PBE", "state": "relaxed", "formation_energy_ev_per_atom": -0.4493, "lattice_angstrom": [[5.0178, 0.0000, 0.0000], [-2.5089, 4.3455, 0.0000], [0.0000, 0.0000, 8.1991]], "species": ["Zr", "Zr", "Zr", "Zr", "Fe", "Fe", "Fe", "Fe", "Fe", "Fe", "Ge", "Ge"], "fractional_positions": [[0.3333, 0.6667, 0.0655], [0.3333, 0.6667, 0.4345], [0.6667, 0.3333, 0.5655], [0.6667, 0.3333, 0.9345], [0.1727, 0.3454, 0.7500], [0.1727, 0.8273, 0.7500], [0.3454, 0.1727, 0.2500], [0.6546, 0.8273, 0.7500], [0.8273, 0.1727, 0.2500], [0.8273, 0.6546, 0.2500], [0.0000, 0.0000, 0.0000], [0.0000, 0.0000, 0.5000]]}

***

{"formula": "PbW3", "functional": "PBE", "state": "relaxed", "formation_energy_ev_per_atom": 0.9121, "e_above_lowest_polymorph_mev_per_atom": 224, "lattice_angstrom": [[5.7290, 0.0000, 0.0000], [0.0000, 7.8111, 0.0000], [0.0000, 0.0000, 3.1875]], "species": ["Pb", "Pb", "W", "W", "W", "W", "W", "W"], "fractional_positions": [[0.0000, 0.0000, 0.0000], [0.5000, 0.5000, 0.0000], [0.0000, 0.5000, 0.0000], [0.2500, 0.2500, 0.5000], [0.2500, 0.7500, 0.5000], [0.5000, 0.0000, 0.0000], [0.7500, 0.2500, 0.5000], [0.7500, 0.7500, 0.5000]]}